Density functional theory data (PBE+U) for a relaxed structure of Sr3CaCo2S2O5.

Properties
N(E_F): 1.24 states/eV/f.u.
DFT total energy: -147.9 eV per cell
mass density: 4.235 g/cm3

Cell lengths 3.914, 3.914, 28.919 Å; angles 90.00, 90.00, 90.00 degrees
Space group I-4m2 (No. 119)
Unique sites:
Sr 0.000 0.000 0.000 (multiplicity 2)
Sr 0.000 0.000 0.131 (multiplicity 4)
Ca 0.000 0.500 0.750 (multiplicity 2)
Co 0.000 0.000 0.434 (multiplicity 4)
S 0.000 0.000 0.315 (multiplicity 4)
O 0.000 0.000 0.500 (multiplicity 2)
O 0.000 0.500 0.075 (multiplicity 4)
O 0.000 0.500 0.575 (multiplicity 4)